*A*
{
  "formula": "MgNiHgGe",
  "functional": "GGA-PBE",
  "state": "optimized geometry",
  "sg": "No. 216",
  "lattice": [[0.000, 3.236, 3.236], [3.236, 0.000, 3.236], [3.236, 3.236, 0.000]],
  "species": ["Mg", "Ni", "Hg", "Ge"],
  "fractional_positions": [[0.000, 0.000, 0.000], [0.500, 0.500, 0.500], [0.750, 0.750, 0.750], [0.250, 0.250, 0.250]]
}

***

*B*
{
  "formula": "MgNiHgGe",
  "functional": "GGA-PBE",
  "state": "optimized geometry",
  "sg": "No. 216",
  "lattice": [[0.000, 3.283, 3.283], [3.283, 0.000, 3.283], [3.283, 3.283, 0.000]],
  "species": ["Mg", "Ni", "Hg", "Ge"],
  "fractional_positions": [[0.000, 0.000, 0.000], [0.250, 0.250, 0.250], [0.500, 0.500, 0.500], [0.750, 0.750, 0.750]]
}

***

Result of the stability comparison: *A* is the most stable of them.

***

*A*
{
  "formula": "NaHg3GeS4",
  "functional": "GGA-PBE",
  "state": "optimized geometry",
  "sg": "No. 11",
  "lattice": [[6.983, 0.000, 0.000], [0.000, 7.007, 0.000], [-2.394, 0.000, 10.413]],
  "species": ["Na", "Na", "Hg", "Hg", "Hg", "Hg", "Hg", "Hg", "Ge", "Ge", "S", "S", "S", "S", "S", "S", "S", "S"],
  "fractional_positions": [[0.044, 0.250, 0.159], [0.956, 0.750, 0.841], [0.263, 0.552, 0.522], [0.263, 0.948, 0.522], [0.475, 0.750, 0.174], [0.525, 0.250, 0.826], [0.737, 0.052, 0.478], [0.737, 0.448, 0.478], [0.018, 0.250, 0.715], [0.982, 0.750, 0.285], [0.122, 0.750, 0.105], [0.246, 0.000, 0.769], [0.246, 0.500, 0.769], [0.302, 0.250, 0.403], [0.698, 0.750, 0.597], [0.754, 0.000, 0.231], [0.754, 0.500, 0.231], [0.878, 0.250, 0.895]]
}

***

*B*
{
  "formula": "NaHg3GeS4",
  "functional": "GGA-PBE",
  "state": "optimized geometry",
  "sg": "No. 215",
  "lattice": [[6.371, 0.000, 0.000], [0.000, 6.371, 0.000], [0.000, 0.000, 6.371]],
  "species": ["Na", "Hg", "Hg", "Hg", "Ge", "S", "S", "S", "S"],
  "fractional_positions": [[0.000, 0.000, 0.000], [0.000, 0.500, 0.500], [0.500, 0.000, 0.500], [0.500, 0.500, 0.000], [0.500, 0.500, 0.500], [0.263, 0.263, 0.263], [0.263, 0.737, 0.737], [0.737, 0.263, 0.737], [0.737, 0.737, 0.263]]
}

***

Result of the stability comparison: *A* is the most stable of them.